a:
LiTlBr2, relaxed, DFT PBEsol; V = 105.78 Å³/cell; D(E_F) = 0.0000 states/eV per atom; magnetization = 0.00 μB/cell
1.0
4.043 0.000 0.000
2.022 3.502 0.000
2.022 1.167 7.471
Tl Br Li
1 2 1
direct
0.250 0.250 0.251
0.816 0.816 0.552
0.017 0.017 0.948
0.417 0.417 0.748

b:
LiTlBr2, relaxed, DFT PBEsol; V = 109.03 Å³/cell; D(E_F) = 0.0000 states/eV per atom; magnetization = 0.00 μB/cell
1.0
-3.520 -0.159 1.128
-1.183 -0.120 -3.710
2.732 -7.413 1.414
Li Tl Br
1 1 2
direct
0.457 0.457 0.914
0.202 0.702 0.405
0.818 0.318 0.635
0.023 0.023 0.046

In meV/atom, relative to the most stable structure: a 0; b 60.

a:
LiTlBr2, relaxed, DFT PBEsol; V = 109.39 Å³/cell; D(E_F) = 0.0000 states/eV per atom; magnetization = 0.00 μB/cell
1.0
-1.435 -1.479 -3.095
-2.510 -2.244 2.235
-4.063 6.126 -1.043
Br Tl Li
2 1 1
direct
0.000 0.899 0.729
0.000 0.101 0.271
0.500 0.500 0.000
0.500 0.000 0.500

b:
LiTlBr2, relaxed, DFT PBEsol; V = 226.66 Å³/cell; D(E_F) = 0.0000 states/eV per atom; magnetization = 0.00 μB/cell
1.0
6.653 0.162 0.253
-2.564 6.141 -0.253
-2.564 -2.815 5.464
Br Tl Li
4 2 2
direct
0.074 0.199 0.625
0.926 0.551 0.125
0.574 0.375 0.449
0.426 0.875 0.801
0.000 0.000 0.000
0.500 0.750 0.250
0.500 0.250 0.750
0.000 0.500 0.500

In meV/atom, relative to the most stable structure: a 27; b 0.

a:
LiTlBr2, relaxed, DFT PBEsol; V = 110.30 Å³/cell; D(E_F) = 0.0000 states/eV per atom; magnetization = 0.00 μB/cell
1.0
4.048 0.000 0.000
2.024 5.306 0.173
2.024 1.191 5.174
Br Tl Li
2 1 1
direct
0.201 0.799 0.799
0.799 0.201 0.201
0.000 0.500 0.500
0.500 0.000 0.000

b:
LiTlBr2, relaxed, DFT PBEsol; V = 131.31 Å³/cell; D(E_F) = 0.0000 states/eV per atom; magnetization = 0.00 μB/cell
1.0
-3.360 -1.808 2.073
2.974 -2.217 2.887
-0.011 4.862 4.223
Br Li Tl
2 1 1
direct
0.500 0.501 0.370
0.000 0.882 0.809
0.000 0.736 0.445
0.500 0.381 0.875

In meV/atom, relative to the most stable structure: a 58; b 0.

a:
LiTlBr2, relaxed, DFT PBEsol; V = 107.47 Å³/cell; D(E_F) = 0.0000 states/eV per atom; magnetization = 0.00 μB/cell
1.0
-0.224 -4.186 -3.302
0.622 -4.943 1.912
-4.165 -3.330 0.193
Br Li Tl
2 1 1
direct
0.750 0.750 0.750
0.000 0.000 0.000
0.500 0.500 0.500
0.250 0.250 0.250

b:
LiTlBr2, relaxed, DFT PBEsol; V = 123.43 Å³/cell; D(E_F) = 0.0000 states/eV per atom; magnetization = 0.00 μB/cell
1.0
-3.921 -0.828 1.020
1.425 -4.060 2.184
2.656 3.597 4.749
Br Li Tl
2 1 1
direct
0.008 0.795 0.017
0.284 0.336 0.569
0.467 0.527 0.935
0.740 0.842 0.480

c:
LiTlBr2, relaxed, DFT PBEsol; V = 106.69 Å³/cell; D(E_F) = 0.0000 states/eV per atom; magnetization = 0.00 μB/cell
1.0
4.090 0.000 0.000
2.045 3.542 0.000
2.045 1.181 7.365
Br Tl Li
2 1 1
direct
0.267 0.267 0.198
0.733 0.733 0.802
0.500 0.500 0.500
0.000 0.000 0.000

d:
LiTlBr2, relaxed, DFT PBEsol; V = 121.86 Å³/cell; D(E_F) = 0.1490 states/eV per atom; magnetization = 0.00 μB/cell
1.0
4.026 0.000 0.000
2.013 3.487 0.000
2.013 1.162 8.681
Tl Br Li
1 2 1
direct
0.000 0.000 0.000
0.112 0.112 0.664
0.888 0.888 0.336
0.500 0.500 0.500

In meV/atom, relative to the most stable structure: a 503; b 45; c 0; d 259.

a:
LiTl2Br, relaxed, DFT PBEsol; V = 113.28 Å³/cell; D(E_F) = 0.5902 states/eV per atom; magnetization = 0.00 μB/cell
1.0
-3.599 3.736 -1.608
-3.217 2.418 3.647
0.768 5.228 1.256
Br Tl Li
1 2 1
direct
0.000 0.000 0.000
0.750 0.750 0.750
0.250 0.250 0.250
0.500 0.500 0.500

b:
LiTl2Br, relaxed, DFT PBEsol; V = 105.45 Å³/cell; D(E_F) = 0.2970 states/eV per atom; magnetization = 0.00 μB/cell
1.0
-3.114 -0.818 1.581
1.647 -5.132 0.588
2.129 1.236 4.831
Tl Li Br
2 1 1
direct
0.000 0.000 0.500
0.000 0.500 0.000
0.500 0.000 0.000
0.500 0.500 0.500

In meV/atom, relative to the most stable structure: a 190; b 0.

a:
Li2WBr, relaxed, DFT PBEsol; V = 65.73 Å³/cell; D(E_F) = 0.7442 states/eV per atom; magnetization = 0.00 μB/cell
1.0
-0.002 0.782 2.733
0.752 -2.636 0.755
7.842 2.069 -0.587
W Li Br
1 2 1
direct
0.500 0.500 0.000
0.000 0.000 0.723
0.000 0.000 0.277
0.500 0.500 0.500

b:
Li2WBr, relaxed, DFT PBEsol; V = 65.48 Å³/cell; D(E_F) = 0.6112 states/eV per atom; magnetization = 0.00 μB/cell
1.0
2.876 -0.013 0.000
-1.189 2.619 0.000
0.000 0.000 8.711
Br Li W
1 2 1
direct
0.500 0.500 0.000
0.000 0.000 0.226
0.000 0.000 0.774
0.500 0.500 0.500

c:
Li2WBr, relaxed, DFT PBEsol; V = 63.27 Å³/cell; D(E_F) = 0.8183 states/eV per atom; magnetization = 0.00 μB/cell
1.0
-0.826 1.481 2.377
-3.770 -2.704 0.375
2.392 -2.963 2.677
Li W Br
2 1 1
direct
0.000 0.000 0.500
0.000 0.500 0.000
0.500 0.500 0.500
0.500 0.000 0.000

d:
Li2WBr, relaxed, DFT PBEsol; V = 70.76 Å³/cell; D(E_F) = 0.5966 states/eV per atom; magnetization = 3.59 μB/cell
1.0
-1.233 4.095 -1.806
-4.391 1.466 0.354
-1.042 3.553 2.800
Br Li W
1 2 1
direct
0.000 0.000 0.000
0.750 0.750 0.750
0.250 0.250 0.250
0.500 0.500 0.500

In meV/atom, relative to the most stable structure: a 92; b 0; c 581; d 973.

a:
LiW2Br, relaxed, DFT PBEsol; V = 69.28 Å³/cell; D(E_F) = 0.5250 states/eV per atom; magnetization = 0.00 μB/cell
1.0
-2.310 1.860 -1.336
-2.199 -1.206 2.122
2.517 5.359 3.110
W Br Li
2 1 1
direct
0.000 0.061 0.121
0.500 0.473 0.945
0.000 0.276 0.552
0.500 0.696 0.392

b:
LiW2Br, relaxed, DFT PBEsol; V = 67.20 Å³/cell; D(E_F) = 0.8515 states/eV per atom; magnetization = 0.00 μB/cell
1.0
3.051 0.000 0.000
0.000 4.274 0.000
0.000 0.000 5.152
Li W Br
1 2 1
direct
0.000 0.500 0.500
0.500 0.500 0.000
0.000 0.000 0.000
0.500 0.000 0.500

c:
LiW2Br, relaxed, DFT PBEsol; V = 69.43 Å³/cell; D(E_F) = 0.8073 states/eV per atom; magnetization = 0.00 μB/cell
1.0
3.624 0.000 0.000
0.000 3.624 0.000
-1.812 -1.812 5.286
Br W Li
1 2 1
direct
0.500 0.500 0.000
0.750 0.250 0.500
0.250 0.750 0.500
0.000 0.000 0.000

d:
LiW2Br, relaxed, DFT PBEsol; V = 58.06 Å³/cell; D(E_F) = 0.9287 states/eV per atom; magnetization = 0.00 μB/cell
1.0
4.346 0.000 0.000
2.173 3.764 0.000
2.173 1.255 3.549
Li Br W
1 1 2
direct
0.500 0.500 0.500
0.000 0.000 0.000
0.750 0.750 0.750
0.250 0.250 0.250

In meV/atom, relative to the most stable structure: a 0; b 571; c 661; d 1155.

a:
LiY2Br, relaxed, DFT PBEsol; V = 106.28 Å³/cell; D(E_F) = 1.1955 states/eV per atom; magnetization = 1.73 μB/cell
1.0
5.317 0.000 0.000
2.658 4.605 0.000
2.658 1.535 4.341
Y Li Br
2 1 1
direct
0.750 0.750 0.750
0.000 0.000 0.000
0.250 0.250 0.250
0.500 0.500 0.500

b:
LiY2Br, relaxed, DFT PBEsol; V = 94.35 Å³/cell; D(E_F) = 0.8560 states/eV per atom; magnetization = 0.00 μB/cell
1.0
-1.308 2.257 3.020
-0.504 -3.301 2.249
5.752 2.169 0.870
Li Br Y
1 1 2
direct
0.500 0.682 0.364
0.000 0.822 0.645
0.500 0.403 0.807
0.000 0.085 0.170

c:
LiY2Br, relaxed, DFT PBEsol; V = 99.10 Å³/cell; D(E_F) = 1.0032 states/eV per atom; magnetization = 0.00 μB/cell
1.0
-3.115 -1.250 0.642
2.163 -3.864 2.974
0.108 5.733 2.589
Br Li Y
1 1 2
direct
0.493 0.494 0.986
0.789 0.289 0.579
0.996 0.996 0.992
0.222 0.721 0.444

In meV/atom, relative to the most stable structure: a 675; b 0; c 89.